Model w:
A relaxed structure of TaNbP2. Source: the Alexandria database, functional PBE.

Cell and atoms, written as extended XYZ:
```
8
Lattice="-2.7928 2.7928 5.5851 2.7928 -2.7928 5.5851 2.7928 2.7928 -5.5851" Properties=species:S:1:pos:R:3 pbc="T T T"
Ta 0.0000 0.0000 0.0000
Ta 0.0000 2.7928 2.7925
Nb 2.7928 0.0000 2.7925
Nb 0.0000 0.0000 5.5851
P 4.1893 1.3804 -1.3963
P 1.3804 1.3964 1.3963
P -1.3964 1.4125 4.1888
P 1.4125 1.3964 6.9814
```

The space group is No. 122.

=====

Model x:
A relaxed structure of TaNbP2. Source: the Alexandria database, functional PBE.

Cell and atoms, written as extended XYZ:
```
4
Lattice="1.7814 1.0285 5.9513 -1.7814 1.0285 5.9513 0.0000 -2.0569 5.9513" Properties=species:S:1:pos:R:3 pbc="T T T"
Ta 0.0000 0.0000 0.0000
Nb 0.0000 0.0000 8.9269
P 0.0000 0.0000 4.4820
P 0.0000 0.0000 13.3718
```

The space group is No. 166.

=====

Quick ranking, most stable first: model x, model w.

=====

Model w:
A relaxed structure of NbTcP3. Source: the Alexandria database, functional PBE.

Cell and atoms, written as extended XYZ:
```
5
Lattice="4.7814 0.0000 0.0000 0.0000 4.7814 0.0000 0.0000 0.0000 4.7814" Properties=species:S:1:pos:R:3 pbc="T T T"
Nb 0.0000 0.0000 0.0000
Tc 2.3907 2.3907 2.3907
P 0.0000 0.0000 2.3907
P 0.0000 2.3907 0.0000
P 2.3907 0.0000 0.0000
```

The space group is No. 221.

=====

Model x:
A relaxed structure of NbTcP3. Source: the Alexandria database, functional PBE.

Cell and atoms, written as extended XYZ:
```
5
Lattice="4.5606 0.0000 0.0000 0.0000 4.5606 0.0000 0.0000 0.0000 4.5606" Properties=species:S:1:pos:R:3 pbc="T T T"
Nb 0.0000 0.0000 0.0000
Tc 2.2803 2.2803 2.2803
P 0.0000 2.2803 2.2803
P 2.2803 0.0000 2.2803
P 2.2803 2.2803 0.0000
```

The space group is No. 221.

=====

Quick ranking, most stable first: model x, model w.

=====

Model w:
A relaxed structure of Nb3TcP. Source: the Alexandria database, functional PBE.

Cell and atoms, written as extended XYZ:
```
5
Lattice="4.5588 0.0000 0.0000 0.0000 4.5588 0.0000 0.0000 0.0000 4.5588" Properties=species:S:1:pos:R:3 pbc="T T T"
Nb 0.0000 0.0000 2.2794
Nb 0.0000 2.2794 0.0000
Nb 2.2794 0.0000 0.0000
Tc 2.2794 2.2794 2.2794
P 0.0000 0.0000 0.0000
```

The space group is No. 221.

=====

Model x:
A relaxed structure of Nb3TcP. Source: the Alexandria database, functional PBE.

Cell and atoms, written as extended XYZ:
```
5
Lattice="4.7937 0.0000 0.0000 0.0000 4.7937 0.0000 0.0000 0.0000 4.7937" Properties=species:S:1:pos:R:3 pbc="T T T"
Nb 0.0000 0.0000 2.3968
Nb 0.0000 2.3968 0.0000
Nb 2.3968 0.0000 0.0000
Tc 0.0000 0.0000 0.0000
P 2.3968 2.3968 2.3968
```

The space group is No. 221.

=====

Quick ranking, most stable first: model w, model x.

=====

Model w:
A relaxed structure of Nb3TeP. Source: the Alexandria database, functional PBE.

Cell and atoms, written as extended XYZ:
```
5
Lattice="5.0215 0.0000 0.0000 0.0000 5.0215 0.0000 0.0000 0.0000 5.0215" Properties=species:S:1:pos:R:3 pbc="T T T"
Nb 0.0000 0.0000 2.5108
Nb 0.0000 2.5108 0.0000
Nb 2.5108 0.0000 0.0000
Te 0.0000 0.0000 0.0000
P 2.5108 2.5108 2.5108
```

The space group is No. 221.

=====

Model x:
A relaxed structure of Nb3TeP. Source: the Alexandria database, functional PBE.

Cell and atoms, written as extended XYZ:
```
5
Lattice="4.6742 0.0000 0.0000 0.0000 4.6742 0.0000 0.0000 0.0000 4.6742" Properties=species:S:1:pos:R:3 pbc="T T T"
Nb 0.0000 0.0000 2.3371
Nb 0.0000 2.3371 0.0000
Nb 2.3371 0.0000 0.0000
Te 2.3371 2.3371 2.3371
P 0.0000 0.0000 0.0000
```

The space group is No. 221.

=====

Quick ranking, most stable first: model x, model w.

=====

Model w:
A relaxed structure of NbTe3P. Source: the Alexandria database, functional PBE.

Cell and atoms, written as extended XYZ:
```
5
Lattice="5.4207 0.0000 0.0000 0.0000 5.4207 0.0000 0.0000 0.0000 5.4207" Properties=species:S:1:pos:R:3 pbc="T T T"
Nb 0.0000 0.0000 0.0000
Te 0.0000 0.0000 2.7103
Te 0.0000 2.7103 0.0000
Te 2.7103 0.0000 0.0000
P 2.7103 2.7103 2.7103
```

The space group is No. 221.

=====

Model x:
A relaxed structure of NbTe3P. Source: the Alexandria database, functional PBE.

Cell and atoms, written as extended XYZ:
```
5
Lattice="5.1416 0.0000 0.0000 0.0000 5.1416 0.0000 0.0000 0.0000 5.1416" Properties=species:S:1:pos:R:3 pbc="T T T"
Nb 0.0000 0.0000 0.0000
Te 0.0000 2.5708 2.5708
Te 2.5708 0.0000 2.5708
Te 2.5708 2.5708 0.0000
P 2.5708 2.5708 2.5708
```

The space group is No. 221.

=====

Quick ranking, most stable first: model w, model x.

=====

Model w:
A relaxed structure of Nb2TeP. Source: the Alexandria database, functional PBE.

Cell and atoms, written as extended XYZ:
```
4
Lattice="0.0000 3.2854 3.2854 3.2854 0.0000 3.2854 3.2854 3.2854 0.0000" Properties=species:S:1:pos:R:3 pbc="T T T"
Nb 1.6427 1.6427 1.6427
Nb 4.9280 4.9280 4.9280
Te 0.0000 0.0000 0.0000
P 3.2854 3.2854 3.2854
```

The space group is No. 225.

=====

Model x:
A relaxed structure of Nb2TeP. Source: the Alexandria database, functional PBE.

Cell and atoms, written as extended XYZ:
```
8
Lattice="-2.5288 2.5288 7.5379 2.5288 -2.5288 7.5379 2.5288 2.5288 -7.5379" Properties=species:S:1:pos:R:3 pbc="T T T"
Nb 3.7932 0.8636 -1.8845
Nb 0.8636 1.2644 1.8845
Nb -1.2644 1.6652 5.6534
Nb 1.6652 1.2644 9.4224
Te 2.5288 0.0000 3.7690
Te 0.0000 0.0000 7.5379
P 0.0000 0.0000 0.0000
P 0.0000 2.5288 3.7690
```

The space group is No. 122.

=====

Quick ranking, most stable first: model w, model x.

=====

Model w:
A relaxed structure of NbTeP3. Source: the Alexandria database, functional PBE.

Cell and atoms, written as extended XYZ:
```
5
Lattice="4.8680 0.0000 0.0000 0.0000 4.8680 0.0000 0.0000 0.0000 4.8680" Properties=species:S:1:pos:R:3 pbc="T T T"
Nb 0.0000 0.0000 0.0000
Te 2.4340 2.4340 2.4340
P 0.0000 2.4340 2.4340
P 2.4340 0.0000 2.4340
P 2.4340 2.4340 0.0000
```

The space group is No. 221.

=====

Model x:
A relaxed structure of NbTeP3. Source: the Alexandria database, functional PBE.

Cell and atoms, written as extended XYZ:
```
5
Lattice="4.8575 0.0000 0.0000 0.0000 4.8575 0.0000 0.0000 0.0000 4.8575" Properties=species:S:1:pos:R:3 pbc="T T T"
Nb 0.0000 0.0000 0.0000
Te 2.4287 2.4287 2.4287
P 0.0000 0.0000 2.4287
P 0.0000 2.4287 0.0000
P 2.4287 0.0000 0.0000
```

The space group is No. 221.

=====

Quick ranking, most stable first: model x, model w.